Here is a relaxed BaLi2CaPt crystal from the Alexandria database. Energies are from PBE.

Lattice parameters (Å, degrees): 5.251 5.251 5.419 90.00 90.00 90.00
Space group P4/mmm (No. 123)
Inequivalent atoms, fractional coordinates:
1 Ba 0.000 0.000 0.000
2 Li 0.000 0.500 0.500
3 Ca 0.500 0.500 0.000
4 Pt 0.500 0.500 0.500

Total energy = -2.99 eV per atom